The following is a DFT calculation (PBE) of CaH3Ru after structural relaxation.

Lattice parameters (Å, degrees): 3.268 5.050 5.867 90.00 90.07 90.00
Positions (direct):
1 H 0.250 0.750 0.392
2 H 0.749 0.986 0.133
3 Ca 0.751 0.750 0.654
4 H 0.251 0.014 0.867
5 Ca 0.249 0.250 0.346
6 Ru 0.251 0.750 0.087
7 H 0.251 0.486 0.867
8 H 0.749 0.514 0.133
9 Ru 0.749 0.250 0.913
10 H 0.750 0.250 0.608

Results
**Uncorrected energy**: -4.42 eV per atom
**SG**: No. 11
**N(E_F)**: 5.27 states/eV/cell
**Total magnetization**: 0.0 μB/cell